Computed, not measured: an optimized crystal structure of ReIOF2 at the PBE level of DFT.

Cell and atoms, written as extended XYZ:
```
5
Lattice="-4.8094 0.9205 -0.9003 -1.2869 -3.5460 3.2492 -0.0329 2.7465 2.9844" Properties=species:S:1:pos:R:3 pbc="T T T"
I 0.0000 0.0000 0.0000
Re -3.0646 0.0605 2.6667
O -0.0165 1.3733 1.4922
F -0.6435 -1.7730 1.6246
F -2.4047 0.4603 -0.4501
```

Values from the calculation:
final energy	-3.870	eV per atom
M_tot	5.8	μB per formula unit
energy relative to the lowest polymorph listed for this composition	1.300	eV/atom
raw formation energy	670	meV per atom



Computed, not measured: an optimized crystal structure of P2AuCl at the PBE level of DFT.

Cell and atoms, written as extended XYZ:
```
4
Lattice="-1.2685 3.2539 3.5698 -4.4977 0.5378 -2.1026 -0.9902 -2.1161 1.5770" Properties=species:S:1:pos:R:3 pbc="T T T"
Au -1.1294 0.5689 2.5734
Cl -2.7440 -0.7892 -0.2628
P 0.0000 0.0000 0.0000
P -2.8831 1.8958 0.7336
```

Values from the calculation:
final energy	-3.223	eV per atom
M_tot	0.0	μB per formula unit
energy relative to the lowest polymorph listed for this composition	0.767	eV/atom
raw formation energy	763	meV per atom



Computed, not measured: an optimized crystal structure of CrHPd3 at the PBE level of DFT.

Cell and atoms, written as extended XYZ:
```
10
Lattice="-4.1234 2.6304 -2.2892 -3.3600 -4.2106 0.8439 0.1491 0.0422 4.7708" Properties=species:S:1:pos:R:3 pbc="T T T"
H -1.4633 0.2304 -0.4051
H -3.4842 -0.9274 1.0403
Pd -4.8480 -0.8112 2.3253
Pd -2.3763 0.4898 1.4652
Pd -2.9486 -2.6629 1.5567
Pd -5.3592 -2.2449 -0.0781
Pd -3.3103 -4.0541 3.9244
Pd -2.4221 -1.1446 3.9402
Cr -4.6772 0.3946 -0.1036
Cr -4.3945 1.5391 -1.5504
```

Values from the calculation:
final energy	-5.670	eV per atom
M_tot	0.0	μB per formula unit
energy relative to the lowest polymorph listed for this composition	0.131	eV/atom



Computed, not measured: an optimized crystal structure of MnP2Br at the PBE level of DFT.

Cell and atoms, written as extended XYZ:
```
4
Lattice="-4.3790 -3.5236 -4.6509 -3.2410 -5.9871 -2.6216 -5.8422 -4.0498 -1.6402" Properties=species:S:1:pos:R:3 pbc="T T T"
Br -3.3656 -3.3901 -2.2282
Mn -10.0967 -10.1704 -6.6845
P -0.3287 -0.3311 -0.2176
P -6.4024 -6.4491 -4.2387
```

Values from the calculation:
final energy	-5.260	eV per atom
M_tot	1.5	μB per formula unit
energy relative to the lowest polymorph listed for this composition	0.224	eV/atom
raw formation energy	156	meV per atom